# TbEr2As3

A relaxed TbEr2As3 crystal (PBE-GGA, Alexandria via LeMat-Bulk).

Values from the calculation:
As for the density of states at the Fermi level: 0.88 states/eV per cell. As for the total magnetic moment: 0.000 μB/atom. Its symmetry is Immm. As for the calculated formation energy: -1.526 eV/atom.

abc: 7.102 7.102 7.102
angles: 146.41 131.82 60.01
Fractional coordinates of all 6 atoms:
Tb1 0.000 0.000 0.000
Er1 0.334 0.334 0.000
Er2 0.666 0.666 0.000
As1 0.169 0.669 0.500
As2 0.500 0.000 0.500
As3 0.831 0.331 0.500